A) First-principles (PBE) data for a relaxed structure of NdDy2Pd, as listed in the Alexandria database.

Unit cell a=3.5881 b=3.5881 c=8.6006 alpha=90.00 beta=90.00 gamma=90.00
Last column: nearest neighbours and their distance in Å.
Fractional positions:
1 Nd 0.0000 0.0000 0.0000  4 Nd 3.59, 8 Dy 3.66
2 Dy 0.5000 0.5000 0.3071  4 Pd 3.03, 1 Dy 3.32
3 Dy 0.5000 0.5000 0.6929  4 Pd 3.03, 1 Dy 3.32
4 Pd 0.0000 0.0000 0.5000  8 Dy 3.03

---

B) First-principles (PBE) data for a relaxed structure of NdDy2Pd, as listed in the Alexandria database.

Unit cell a=3.8825 b=3.8825 c=27.6582 alpha=90.00 beta=90.00 gamma=120.00
Last column: nearest neighbours and their distance in Å.
Fractional positions:
1 Nd 0.0000 0.0000 0.0000  6 Dy 3.62-3.70, 6 Nd 3.88
2 Nd 0.3333 0.6667 0.6667  6 Dy 3.62-3.70, 6 Nd 3.88
3 Nd 0.6667 0.3333 0.3333  6 Dy 3.62-3.70, 6 Nd 3.88
4 Dy 0.0000 0.0000 0.5601  3 Pd 2.83
5 Dy 0.0000 0.0000 0.7696  3 Pd 2.81
6 Dy 0.3333 0.6667 0.2268  3 Pd 2.83
7 Dy 0.3333 0.6667 0.4363  3 Pd 2.81
8 Dy 0.6667 0.3333 0.1030  3 Pd 2.81
9 Dy 0.6667 0.3333 0.8934  3 Pd 2.83
10 Pd 0.0000 0.0000 0.1644  6 Dy 2.81-2.83
11 Pd 0.3333 0.6667 0.8311  6 Dy 2.81-2.83
12 Pd 0.6667 0.3333 0.4977  6 Dy 2.81-2.83

---

C) First-principles (PBE) data for a relaxed structure of NdDy2Pd, as listed in the Alexandria database.

Unit cell a=3.7882 b=9.3485 c=6.5788 alpha=90.00 beta=106.69 gamma=90.00
Last column: nearest neighbours and their distance in Å.
Fractional positions:
1 Nd 0.0600 0.2500 0.1212  2 Pd 3.18-3.19
2 Nd 0.9400 0.7500 0.8788  2 Pd 3.18-3.19
3 Dy 0.3636 0.0598 0.7260  2 Pd 2.88
4 Dy 0.3636 0.4402 0.7260  2 Pd 2.88
5 Dy 0.6364 0.5598 0.2740  2 Pd 2.88
6 Dy 0.6364 0.9402 0.2740  2 Pd 2.88
7 Pd 0.2357 0.7500 0.4725  4 Dy 2.88, 2 Nd 3.18-3.19
8 Pd 0.7643 0.2500 0.5275  4 Dy 2.88, 2 Nd 3.18-3.19

---

Stability verdict: C), ahead by 25 meV per atom

---

A) First-principles (PBE) data for a relaxed structure of NdDy2Pd, as listed in the Alexandria database.

Unit cell a=7.4303 b=7.4303 c=7.4303 alpha=90.00 beta=90.00 gamma=90.00
Last column: nearest neighbours and their distance in Å.
Fractional positions:
1 Nd 0.0000 0.0000 0.0000  8 Dy 3.22
2 Nd 0.0000 0.5000 0.5000  8 Dy 3.22
3 Nd 0.5000 0.0000 0.5000  8 Dy 3.22
4 Nd 0.5000 0.5000 0.0000  8 Dy 3.22
5 Dy 0.2500 0.2500 0.2500  4 Nd 3.22, 4 Pd 3.22
6 Dy 0.2500 0.2500 0.7500  4 Nd 3.22, 4 Pd 3.22
7 Dy 0.2500 0.7500 0.2500  4 Nd 3.22, 4 Pd 3.22
8 Dy 0.2500 0.7500 0.7500  4 Nd 3.22, 4 Pd 3.22
9 Dy 0.7500 0.2500 0.2500  4 Nd 3.22, 4 Pd 3.22
10 Dy 0.7500 0.2500 0.7500  4 Nd 3.22, 4 Pd 3.22
11 Dy 0.7500 0.7500 0.2500  4 Nd 3.22, 4 Pd 3.22
12 Dy 0.7500 0.7500 0.7500  4 Nd 3.22, 4 Pd 3.22
13 Pd 0.0000 0.0000 0.5000  8 Dy 3.22
14 Pd 0.0000 0.5000 0.0000  8 Dy 3.22
15 Pd 0.5000 0.0000 0.0000  8 Dy 3.22
16 Pd 0.5000 0.5000 0.5000  8 Dy 3.22

---

B) First-principles (PBE) data for a relaxed structure of NdDy2Pd, as listed in the Alexandria database.

Unit cell a=7.1205 b=9.7568 c=6.5515 alpha=90.00 beta=90.00 gamma=90.00
Last column: nearest neighbours and their distance in Å.
Fractional positions:
1 Nd 0.0187 0.2500 0.1350  2 Pd 2.97-3.04
2 Nd 0.4813 0.7500 0.6350  2 Pd 2.97-3.04
3 Nd 0.5187 0.2500 0.3650  2 Pd 2.97-3.04
4 Nd 0.9813 0.7500 0.8650  2 Pd 2.97-3.04
5 Dy 0.1790 0.0604 0.6714  2 Pd 2.85-2.89
6 Dy 0.1790 0.4396 0.6714  2 Pd 2.85-2.89
7 Dy 0.3210 0.5604 0.1714  2 Pd 2.85-2.89
8 Dy 0.3210 0.9396 0.1714  2 Pd 2.85-2.89
9 Dy 0.6790 0.0604 0.8286  2 Pd 2.85-2.89
10 Dy 0.6790 0.4396 0.8286  2 Pd 2.85-2.89
11 Dy 0.8210 0.5604 0.3286  2 Pd 2.85-2.89
12 Dy 0.8210 0.9396 0.3286  2 Pd 2.85-2.89
13 Pd 0.1127 0.7500 0.4240  4 Dy 2.85-2.89, 2 Nd 2.97-3.04
14 Pd 0.3873 0.2500 0.9240  4 Dy 2.85-2.89, 2 Nd 2.97-3.04
15 Pd 0.6127 0.7500 0.0760  4 Dy 2.85-2.89, 2 Nd 2.97-3.04
16 Pd 0.8873 0.2500 0.5760  4 Dy 2.85-2.89, 2 Nd 2.97-3.04

---

Stability verdict: B), ahead by 352 meV per atom

---

A) First-principles (PBE) data for a relaxed structure of NdDy3Pd, as listed in the Alexandria database.

Unit cell a=5.4794 b=5.4794 c=5.4794 alpha=90.00 beta=90.00 gamma=90.00
Last column: nearest neighbours and their distance in Å.
Fractional positions:
1 Nd 0.0000 0.0000 0.0000  12 Dy 3.87
2 Dy 0.0000 0.5000 0.5000  2 Pd 2.74
3 Dy 0.5000 0.0000 0.5000  2 Pd 2.74
4 Dy 0.5000 0.5000 0.0000  2 Pd 2.74
5 Pd 0.5000 0.5000 0.5000  6 Dy 2.74

---

B) First-principles (PBE) data for a relaxed structure of NdDy3Pd, as listed in the Alexandria database.

Unit cell a=6.9720 b=6.9720 c=11.8365 alpha=94.60 beta=94.60 gamma=30.81
Last column: nearest neighbours and their distance in Å.
Fractional positions:
1 Nd 0.1647 0.1647 0.4058  6 Dy 3.41-3.69, 4 Nd 3.58-3.70
2 Nd 0.8353 0.8353 0.5942  6 Dy 3.41-3.69, 4 Nd 3.58-3.70
3 Dy 0.0380 0.0380 0.1443  4 Pd 2.89-3.02
4 Dy 0.2313 0.2313 0.8545  3 Pd 2.90-2.95
5 Dy 0.4273 0.4273 0.3593  7 Dy 3.57-3.72, 5 Nd 3.62-3.69, 1 Pd 3.81
6 Dy 0.5727 0.5727 0.6407  7 Dy 3.57-3.72, 5 Nd 3.62-3.69, 1 Pd 3.81
7 Dy 0.7687 0.7687 0.1455  3 Pd 2.90-2.95
8 Dy 0.9620 0.9620 0.8557  4 Pd 2.89-3.02
9 Pd 0.3955 0.3955 0.0360  7 Dy 2.89-3.02, 1 Pd 3.00
10 Pd 0.6045 0.6045 0.9640  7 Dy 2.89-3.02, 1 Pd 3.00

---

Stability verdict: B), ahead by 168 meV per atom

---

A) First-principles (PBE) data for a relaxed structure of NdDyPd4, as listed in the Alexandria database.

Unit cell a=3.9525 b=3.9525 c=8.6592 alpha=90.00 beta=90.00 gamma=90.00
Last column: nearest neighbours and their distance in Å.
Fractional positions:
1 Nd 0.0000 0.0000 0.0000  8 Pd 2.98
2 Dy 0.5000 0.5000 0.5000  8 Pd 2.89
3 Pd 0.0000 0.5000 0.2569  4 Pd 2.79, 2 Dy 2.89, 2 Nd 2.98
4 Pd 0.0000 0.5000 0.7431  4 Pd 2.79, 2 Dy 2.89, 2 Nd 2.98
5 Pd 0.5000 0.0000 0.2569  4 Pd 2.79, 2 Dy 2.89, 2 Nd 2.98
6 Pd 0.5000 0.0000 0.7431  4 Pd 2.79, 2 Dy 2.89, 2 Nd 2.98

---

B) First-principles (PBE) data for a relaxed structure of NdDyPd4, as listed in the Alexandria database.

Unit cell a=5.4871 b=5.4871 c=5.4871 alpha=60.00 beta=60.00 gamma=60.00
Last column: nearest neighbours and their distance in Å.
Fractional positions:
1 Nd 0.0000 0.0000 0.0000  12 Pd 3.22, 4 Dy 3.36
2 Dy 0.7500 0.7500 0.7500  12 Pd 3.22, 4 Nd 3.36
3 Pd 0.3754 0.3754 0.3754  6 Pd 2.74-2.75
4 Pd 0.3754 0.3754 0.8739  6 Pd 2.74-2.75
5 Pd 0.3754 0.8739 0.3754  6 Pd 2.74-2.75
6 Pd 0.8739 0.3754 0.3754  6 Pd 2.74-2.75

---

C) First-principles (PBE) data for a relaxed structure of NdDyPd4, as listed in the Alexandria database.

Unit cell a=10.1010 b=10.1010 c=5.8000 alpha=90.00 beta=90.00 gamma=155.81
Last column: nearest neighbours and their distance in Å.
Fractional positions:
1 Nd 0.2228 0.7772 0.7500  7 Pd 2.97-3.02
2 Nd 0.7772 0.2228 0.2500  7 Pd 2.97-3.02
3 Dy 0.0758 0.9242 0.2500  11 Pd 2.90-2.97
4 Dy 0.9242 0.0758 0.7500  11 Pd 2.90-2.97
5 Pd 0.0716 0.9284 0.7500  3 Dy 2.90-2.91, 8 Pd 2.92-2.93, 1 Nd 2.99
6 Pd 0.3554 0.6446 0.0081  5 Pd 2.81-2.99, 2 Dy 2.93, 3 Nd 2.97-3.02
7 Pd 0.3554 0.6446 0.4919  5 Pd 2.81-2.99, 2 Dy 2.93, 3 Nd 2.97-3.02
8 Pd 0.5000 0.5000 0.0000  8 Pd 2.86-2.93, 4 Dy 2.97
9 Pd 0.5000 0.5000 0.5000  8 Pd 2.86-2.93, 4 Dy 2.97
10 Pd 0.6446 0.3554 0.5081  5 Pd 2.81-2.99, 2 Dy 2.93, 3 Nd 2.97-3.02
11 Pd 0.6446 0.3554 0.9919  5 Pd 2.81-2.99, 2 Dy 2.93, 3 Nd 2.97-3.02
12 Pd 0.9284 0.0716 0.2500  3 Dy 2.90-2.91, 8 Pd 2.92-2.93, 1 Nd 2.99

---

Stability verdict: C), ahead by 65 meV per atom

---

A) First-principles (PBE) data for a relaxed structure of NdDyPdRh, as listed in the Alexandria database.

Unit cell a=4.4951 b=3.7822 c=10.6992 alpha=90.00 beta=90.00 gamma=90.00
Last column: nearest neighbours and their distance in Å.
Fractional positions:
1 Nd 0.0000 0.0000 0.0000  3 Rh 2.85-3.13, 4 Pd 3.01
2 Nd 0.0000 0.5000 0.5000  3 Rh 2.85-3.13, 4 Pd 3.01
3 Dy 0.5000 0.0000 0.2780  4 Rh 2.98, 3 Pd 3.00-3.02
4 Dy 0.5000 0.5000 0.7780  4 Rh 2.98, 3 Pd 3.00-3.02
5 Pd 0.5000 0.0000 0.5598  2 Rh 2.92, 3 Dy 3.00-3.02, 4 Nd 3.01
6 Pd 0.5000 0.5000 0.0598  2 Rh 2.92, 3 Dy 3.00-3.02, 4 Nd 3.01
7 Rh 0.0000 0.0000 0.7334  3 Nd 2.85-3.13, 2 Pd 2.92, 4 Dy 2.98
8 Rh 0.0000 0.5000 0.2334  3 Nd 2.85-3.13, 2 Pd 2.92, 4 Dy 2.98

---

B) First-principles (PBE) data for a relaxed structure of NdDyPdRh, as listed in the Alexandria database.

Unit cell a=7.0517 b=7.0517 c=7.0517 alpha=90.00 beta=90.00 gamma=90.00
Last column: nearest neighbours and their distance in Å.
Fractional positions:
1 Nd 0.0000 0.0000 0.0000  4 Pd 3.05, 4 Rh 3.05
2 Nd 0.0000 0.5000 0.5000  4 Pd 3.05, 4 Rh 3.05
3 Nd 0.5000 0.0000 0.5000  4 Pd 3.05, 4 Rh 3.05
4 Nd 0.5000 0.5000 0.0000  4 Pd 3.05, 4 Rh 3.05
5 Dy 0.0000 0.0000 0.5000  4 Rh 3.05, 4 Pd 3.05
6 Dy 0.0000 0.5000 0.0000  4 Rh 3.05, 4 Pd 3.05
7 Dy 0.5000 0.0000 0.0000  4 Rh 3.05, 4 Pd 3.05
8 Dy 0.5000 0.5000 0.5000  4 Rh 3.05, 4 Pd 3.05
9 Pd 0.2500 0.2500 0.7500  4 Dy 3.05, 4 Nd 3.05
10 Pd 0.2500 0.7500 0.2500  4 Dy 3.05, 4 Nd 3.05
11 Pd 0.7500 0.2500 0.2500  4 Dy 3.05, 4 Nd 3.05
12 Pd 0.7500 0.7500 0.7500  4 Nd 3.05, 4 Dy 3.05
13 Rh 0.2500 0.2500 0.2500  4 Dy 3.05, 4 Nd 3.05
14 Rh 0.2500 0.7500 0.7500  4 Dy 3.05, 4 Nd 3.05
15 Rh 0.7500 0.2500 0.7500  4 Dy 3.05, 4 Nd 3.05
16 Rh 0.7500 0.7500 0.2500  4 Dy 3.05, 4 Nd 3.05

---

Stability verdict: A), ahead by 33 meV per atom